[1]
La3TmCu4: relaxed, PBE-GGA.

The structure in CIF format:
```
data_La3TmCu4
_cell_length_a 3.578
_cell_length_b 3.578
_cell_length_c 14.498
_cell_angle_alpha 90.00
_cell_angle_beta 90.00
_cell_angle_gamma 90.00
_space_group_name_H-M_alt 'P 4/m m m'
_space_group_IT_number 123
_space_group_name_Hall '-P 4 2'
loop_
_atom_site_label
_atom_site_type_symbol
_atom_site_fract_x
_atom_site_fract_y
_atom_site_fract_z
_atom_site_occupancy
La1 La 0.000 0.000 0.000 1
La2 La 0.000 0.000 0.257 1
Tm1 Tm 0.000 0.000 0.500 1
Cu1 Cu 0.500 0.500 0.128 1
Cu2 Cu 0.500 0.500 0.395 1
```

Computed properties:
Total magnetization: 0.000 μB per cell
Electronic total energy: -36.99 eV/f.u.

***

[2]
CaRh2I: relaxed, PBE-GGA.

The structure in CIF format:
```
data_CaRh2I
_cell_length_a 6.750
_cell_length_b 6.750
_cell_length_c 6.750
_cell_angle_alpha 90.00
_cell_angle_beta 90.00
_cell_angle_gamma 90.00
_space_group_name_H-M_alt 'F m -3 m'
_space_group_IT_number 225
_space_group_name_Hall '-F 4 2 3'
loop_
_atom_site_label
_atom_site_type_symbol
_atom_site_fract_x
_atom_site_fract_y
_atom_site_fract_z
_atom_site_occupancy
Ca1 Ca 0.000 0.000 0.000 1
Rh1 Rh 0.250 0.250 0.250 1
I1 I 0.000 0.000 0.500 1
```

Computed properties:
ΔE_f (raw): 0.087 eV/atom
Total magnetization: 3.836 μB per cell
Electronic total energy: -17.90 eV/f.u.

***

[3]
La3Cu9Pd2: relaxed, PBE-GGA.

The structure in CIF format:
```
data_La3Cu9Pd2
_cell_length_a 4.300
_cell_length_b 8.995
_cell_length_c 12.773
_cell_angle_alpha 90.00
_cell_angle_beta 90.00
_cell_angle_gamma 90.00
_space_group_name_H-M_alt 'I m m m'
_space_group_IT_number 71
_space_group_name_Hall '-I 2 2'
loop_
_atom_site_label
_atom_site_type_symbol
_atom_site_fract_x
_atom_site_fract_y
_atom_site_fract_z
_atom_site_occupancy
La1 La 0.000 0.000 0.000 1
La2 La 0.000 0.000 0.307 1
Cu1 Cu 0.000 0.277 0.123 1
Cu2 Cu 0.000 0.354 0.323 1
Cu3 Cu 0.000 0.500 0.000 1
Pd1 Pd 0.000 0.201 0.500 1
```

Computed properties:
Total magnetization: 0.000 μB per cell
Electronic total energy: -65.95 eV/f.u.

***

[4]
Pr2AgPd6: relaxed, PBE-GGA.

The structure in CIF format:
```
data_Pr2AgPd6
_cell_length_a 5.7826
_cell_length_b 5.7826
_cell_length_c 6.1575
_cell_angle_alpha 90.00
_cell_angle_beta 90.00
_cell_angle_gamma 120.00
_space_group_name_H-M_alt 'P -3 m 1'
_space_group_IT_number 164
_space_group_name_Hall '-P 3 2"'
loop_
_atom_site_label
_atom_site_type_symbol
_atom_site_fract_x
_atom_site_fract_y
_atom_site_fract_z
_atom_site_occupancy
Pr1 Pr 0.3333 0.6667 0.3226 1
Ag1 Ag 0.0000 0.0000 0.5000 1
Pd1 Pd 0.1755 0.3510 0.8267 1
```

Computed properties:
Total magnetization: 0.000 μB per cell
Electronic total energy: -48.63 eV/f.u.

***

[5]
BaNa2AsN: relaxed, PBE-GGA.

The structure in CIF format:
```
data_BaNa2AsN
_cell_length_a 4.942
_cell_length_b 4.942
_cell_length_c 5.044
_cell_angle_alpha 90.00
_cell_angle_beta 90.00
_cell_angle_gamma 90.00
_space_group_name_H-M_alt 'P 4/m m m'
_space_group_IT_number 123
_space_group_name_Hall '-P 4 2'
loop_
_atom_site_label
_atom_site_type_symbol
_atom_site_fract_x
_atom_site_fract_y
_atom_site_fract_z
_atom_site_occupancy
Ba1 Ba 0.000 0.000 0.000 1
Na1 Na 0.000 0.500 0.500 1
As1 As 0.500 0.500 0.000 1
N1 N 0.000 0.000 0.500 1
```

Computed properties:
ΔE_f (raw): -0.092 eV/atom
Total magnetization: 1.235 μB per cell
Electronic total energy: -17.99 eV/f.u.

***

[6]
BeAg2Mo: relaxed, PBE-GGA.

The structure in CIF format:
```
data_BeAg2Mo
_cell_length_a 2.776
_cell_length_b 2.776
_cell_length_c 7.573
_cell_angle_alpha 90.00
_cell_angle_beta 90.00
_cell_angle_gamma 90.00
_space_group_name_H-M_alt 'P 4/m m m'
_space_group_IT_number 123
_space_group_name_Hall '-P 4 2'
loop_
_atom_site_label
_atom_site_type_symbol
_atom_site_fract_x
_atom_site_fract_y
_atom_site_fract_z
_atom_site_occupancy
Be1 Be 0.000 0.000 0.000 1
Ag1 Ag 0.500 0.500 0.208 1
Mo1 Mo 0.000 0.000 0.500 1
```

Computed properties:
Total magnetization: 0.000 μB per cell
Electronic total energy: -18.83 eV/f.u.

***

[7]
CaInFe2Sn: relaxed, PBE-GGA.

The structure in CIF format:
```
data_CaInFe2Sn
_cell_length_a 4.850
_cell_length_b 4.850
_cell_length_c 5.646
_cell_angle_alpha 90.00
_cell_angle_beta 90.00
_cell_angle_gamma 90.00
_space_group_name_H-M_alt 'P 4/m m m'
_space_group_IT_number 123
_space_group_name_Hall '-P 4 2'
loop_
_atom_site_label
_atom_site_type_symbol
_atom_site_fract_x
_atom_site_fract_y
_atom_site_fract_z
_atom_site_occupancy
Ca1 Ca 0.000 0.000 0.000 1
In1 In 0.000 0.000 0.500 1
Fe1 Fe 0.000 0.500 0.000 1
Sn1 Sn 0.500 0.500 0.500 1
```

Computed properties:
Total magnetization: 5.179 μB per cell
Electronic total energy: -18.31 eV/f.u.

***

[8]
CoTcIr2S: relaxed, PBE-GGA.

The structure in CIF format:
```
data_CoTcIr2S
_cell_length_a 4.517
_cell_length_b 4.517
_cell_length_c 4.373
_cell_angle_alpha 90.00
_cell_angle_beta 90.00
_cell_angle_gamma 90.00
_space_group_name_H-M_alt 'P 4/m m m'
_space_group_IT_number 123
_space_group_name_Hall '-P 4 2'
loop_
_atom_site_label
_atom_site_type_symbol
_atom_site_fract_x
_atom_site_fract_y
_atom_site_fract_z
_atom_site_occupancy
Co1 Co 0.000 0.000 0.000 1
Tc1 Tc 0.000 0.000 0.500 1
Ir1 Ir 0.000 0.500 0.000 1
S1 S 0.500 0.500 0.500 1
```

Computed properties:
ΔE_f (raw): 1.716 eV/atom
Total magnetization: 3.419 μB per cell
Electronic total energy: -30.74 eV/f.u.

***

[9]
K3LaCl: relaxed, PBE-GGA.

The structure in CIF format:
```
data_K3LaCl
_cell_length_a 7.512
_cell_length_b 7.512
_cell_length_c 7.512
_cell_angle_alpha 90.00
_cell_angle_beta 90.00
_cell_angle_gamma 90.00
_space_group_name_H-M_alt 'P m -3 m'
_space_group_IT_number 221
_space_group_name_Hall '-P 4 2 3'
loop_
_atom_site_label
_atom_site_type_symbol
_atom_site_fract_x
_atom_site_fract_y
_atom_site_fract_z
_atom_site_occupancy
K1 K 0.000 0.000 0.500 1
La1 La 0.000 0.000 0.000 1
Cl1 Cl 0.500 0.500 0.500 1
```

Computed properties:
ΔE_f (raw): 0.448 eV/atom
Total magnetization: 3.002 μB per cell
Electronic total energy: -7.83 eV/f.u.

***

[10]
ZrGa5Ir6: relaxed, PBE-GGA.

The structure in CIF format:
```
data_ZrGa5Ir6
_cell_length_a 4.189
_cell_length_b 6.817
_cell_length_c 6.625
_cell_angle_alpha 90.00
_cell_angle_beta 108.36
_cell_angle_gamma 90.00
_space_group_name_H-M_alt 'P 1 2/m 1'
_space_group_IT_number 10
loop_
_space_group_symop_operation_xyz
'x,y,z'
'-x,-y,-z'
'-x,y,-z'
'x,-y,z'
loop_
_atom_site_label
_atom_site_type_symbol
_atom_site_fract_x
_atom_site_fract_y
_atom_site_fract_z
_atom_site_occupancy
Zr1 Zr 0.000 0.000 0.000 1
Ga1 Ga 0.000 0.500 0.000 1
Ga2 Ga 0.333 0.000 0.666 1
Ga3 Ga 0.334 0.500 0.669 1
Ir1 Ir 0.171 0.256 0.341 1
Ir2 Ir 0.500 0.270 0.000 1
```

Computed properties:
Total magnetization: 0.000 μB per cell
Electronic total energy: -82.86 eV/f.u.

***

[11]
Rb3Tb3TiTe8: relaxed, PBE-GGA.

The structure in CIF format:
```
data_Rb3Tb3TiTe8
_cell_length_a 8.7713
_cell_length_b 8.7713
_cell_length_c 26.3789
_cell_angle_alpha 90.00
_cell_angle_beta 90.00
_cell_angle_gamma 120.00
_space_group_name_H-M_alt 'R -3 m'
_space_group_IT_number 166
_space_group_name_Hall '-R 3 2"'
loop_
_atom_site_label
_atom_site_type_symbol
_atom_site_fract_x
_atom_site_fract_y
_atom_site_fract_z
_atom_site_occupancy
Rb1 Rb 0.0000 0.5000 0.0000 1
Tb1 Tb 0.0000 0.5000 0.5000 1
Ti1 Ti 0.0000 0.0000 0.5000 1
Te1 Te 0.0000 0.0000 0.2340 1
Te2 Te 0.0243 0.5122 0.2293 1
```

Computed properties:
ΔE_f (raw): -1.206 eV/atom
Total magnetization: 0.238 μB per cell
Electronic total energy: -67.91 eV/f.u.

***

[12]
Ca4Dy3TmTe8: relaxed, PBE-GGA.

The structure in CIF format:
```
data_Ca4Dy3TmTe8
_cell_length_a 8.7667
_cell_length_b 8.7667
_cell_length_c 21.9371
_cell_angle_alpha 90.00
_cell_angle_beta 90.00
_cell_angle_gamma 120.00
_space_group_name_H-M_alt 'R -3 m'
_space_group_IT_number 166
_space_group_name_Hall '-R 3 2"'
loop_
_atom_site_label
_atom_site_type_symbol
_atom_site_fract_x
_atom_site_fract_y
_atom_site_fract_z
_atom_site_occupancy
Ca1 Ca 0.0000 0.0000 0.0000 1
Ca2 Ca 0.0000 0.5000 0.0000 1
Dy1 Dy 0.0000 0.5000 0.5000 1
Tm1 Tm 0.0000 0.0000 0.5000 1
Te1 Te 0.0000 0.0000 0.2484 1
Te2 Te 0.0023 0.5011 0.2478 1
```

Computed properties:
ΔE_f (raw): -1.441 eV/atom
Total magnetization: 0.000 μB per cell
Electronic total energy: -74.47 eV/f.u.

***

[13]
TaCd3S: relaxed, PBE-GGA.

The structure in CIF format:
```
data_TaCd3S
_cell_length_a 5.447
_cell_length_b 5.447
_cell_length_c 5.447
_cell_angle_alpha 90.00
_cell_angle_beta 90.00
_cell_angle_gamma 90.00
_space_group_name_H-M_alt 'P m -3 m'
_space_group_IT_number 221
_space_group_name_Hall '-P 4 2 3'
loop_
_atom_site_label
_atom_site_type_symbol
_atom_site_fract_x
_atom_site_fract_y
_atom_site_fract_z
_atom_site_occupancy
Ta1 Ta 0.000 0.000 0.000 1
Cd1 Cd 0.000 0.000 0.500 1
S1 S 0.500 0.500 0.500 1
```

Computed properties:
ΔE_f (raw): 1.329 eV/atom
Total magnetization: 0.000 μB per cell
Electronic total energy: -12.08 eV/f.u.

***

[14]
Hg3GePd12: relaxed, PBE-GGA.

The structure in CIF format:
```
data_Hg3GePd12
_cell_length_a 4.046
_cell_length_b 4.046
_cell_length_c 15.902
_cell_angle_alpha 90.00
_cell_angle_beta 90.00
_cell_angle_gamma 90.00
_space_group_name_H-M_alt 'P 4/m m m'
_space_group_IT_number 123
_space_group_name_Hall '-P 4 2'
loop_
_atom_site_label
_atom_site_type_symbol
_atom_site_fract_x
_atom_site_fract_y
_atom_site_fract_z
_atom_site_occupancy
Hg1 Hg 0.000 0.000 0.000 1
Hg2 Hg 0.000 0.000 0.255 1
Ge1 Ge 0.000 0.000 0.500 1
Pd1 Pd 0.000 0.500 0.128 1
Pd2 Pd 0.000 0.500 0.385 1
Pd3 Pd 0.500 0.500 0.000 1
Pd4 Pd 0.500 0.500 0.257 1
Pd5 Pd 0.500 0.500 0.500 1
```

Computed properties:
Total magnetization: 0.000 μB per cell
Electronic total energy: -70.51 eV/f.u.

***

[15]
LiTaBr2: relaxed, PBE-GGA.

The structure in CIF format:
```
data_LiTaBr2
_cell_length_a 9.307
_cell_length_b 3.265
_cell_length_c 6.661
_cell_angle_alpha 90.00
_cell_angle_beta 115.35
_cell_angle_gamma 90.00
_space_group_name_H-M_alt 'C 1 m 1'
_space_group_IT_number 8
loop_
_space_group_symop_operation_xyz
'x,y,z'
'x,-y,z'
'x+1/2,y+1/2,z'
'x+1/2,-y+1/2,z'
loop_
_atom_site_label
_atom_site_type_symbol
_atom_site_fract_x
_atom_site_fract_y
_atom_site_fract_z
_atom_site_occupancy
Li1 Li 0.000 0.000 0.000 1
Ta1 Ta 0.207 0.500 0.426 1
Br1 Br 0.236 0.000 0.763 1
Br2 Br 0.399 0.000 0.361 1
```

Computed properties:
ΔE_f (raw): -0.074 eV/atom
Total magnetization: 0.133 μB per cell
Electronic total energy: -17.41 eV/f.u.

***

[16]
CsCaSi2: relaxed, PBE-GGA.

The structure in CIF format:
```
data_CsCaSi2
_cell_length_a 7.804
_cell_length_b 7.804
_cell_length_c 7.804
_cell_angle_alpha 90.00
_cell_angle_beta 90.00
_cell_angle_gamma 90.00
_space_group_name_H-M_alt 'F m -3 m'
_space_group_IT_number 225
_space_group_name_Hall '-F 4 2 3'
loop_
_atom_site_label
_atom_site_type_symbol
_atom_site_fract_x
_atom_site_fract_y
_atom_site_fract_z
_atom_site_occupancy
Cs1 Cs 0.000 0.000 0.000 1
Ca1 Ca 0.000 0.000 0.500 1
Si1 Si 0.250 0.250 0.250 1
```

Computed properties:
ΔE_f (raw): 0.547 eV/atom
Total magnetization: 0.000 μB per cell
Electronic total energy: -11.51 eV/f.u.

***

[17]
HfTi2S5: relaxed, PBE-GGA.

The structure in CIF format:
```
data_HfTi2S5
_cell_length_a 4.759
_cell_length_b 12.595
_cell_length_c 13.108
_cell_angle_alpha 90.00
_cell_angle_beta 90.00
_cell_angle_gamma 90.00
_space_group_name_H-M_alt 'F m m m'
_space_group_IT_number 69
_space_group_name_Hall '-F 2 2'
loop_
_atom_site_label
_atom_site_type_symbol
_atom_site_fract_x
_atom_site_fract_y
_atom_site_fract_z
_atom_site_occupancy
Hf1 Hf 0.000 0.000 0.000 1
Ti1 Ti 0.000 0.190 0.500 1
S1 S 0.000 0.000 0.500 1
S2 S 0.000 0.163 0.118 1
```

Computed properties:
ΔE_f (raw): -1.108 eV/atom
Total magnetization: 3.338 μB per cell
Electronic total energy: -55.24 eV/f.u.

***

[18]
ThMg2In2Ag2: relaxed, PBE-GGA.

The structure in CIF format:
```
data_ThMg2In2Ag2
_cell_length_a 4.7222
_cell_length_b 4.7222
_cell_length_c 25.0285
_cell_angle_alpha 90.00
_cell_angle_beta 90.00
_cell_angle_gamma 120.00
_space_group_name_H-M_alt 'R -3 m'
_space_group_IT_number 166
_space_group_name_Hall '-R 3 2"'
loop_
_atom_site_label
_atom_site_type_symbol
_atom_site_fract_x
_atom_site_fract_y
_atom_site_fract_z
_atom_site_occupancy
Th1 Th 0.0000 0.0000 0.0000 1
Mg1 Mg 0.0000 0.0000 0.1378 1
In1 In 0.0000 0.0000 0.2624 1
Ag1 Ag 0.0000 0.0000 0.4373 1
```

Computed properties:
Total magnetization: 0.000 μB per cell
Electronic total energy: -23.07 eV/f.u.

***

[19]
Li4CoSe: relaxed, PBE-GGA.

The structure in CIF format:
```
data_Li4CoSe
_cell_length_a 6.880
_cell_length_b 6.880
_cell_length_c 6.880
_cell_angle_alpha 90.00
_cell_angle_beta 90.00
_cell_angle_gamma 90.00
_space_group_name_H-M_alt 'F -4 3 m'
_space_group_IT_number 216
_space_group_name_Hall 'F -4 2 3'
loop_
_atom_site_label
_atom_site_type_symbol
_atom_site_fract_x
_atom_site_fract_y
_atom_site_fract_z
_atom_site_occupancy
Li1 Li 0.123 0.123 0.377 1
Co1 Co 0.250 0.250 0.750 1
Se1 Se 0.000 0.000 0.000 1
```

Computed properties:
ΔE_f (raw): 0.136 eV/atom
Total magnetization: 0.899 μB per cell
Electronic total energy: -17.43 eV/f.u.

***

[20]
CoReSi2I: relaxed, PBE-GGA.

The structure in CIF format:
```
data_CoReSi2I
_cell_length_a 4.216
_cell_length_b 4.216
_cell_length_c 5.233
_cell_angle_alpha 90.00
_cell_angle_beta 90.00
_cell_angle_gamma 90.00
_space_group_name_H-M_alt 'P 4/m m m'
_space_group_IT_number 123
_space_group_name_Hall '-P 4 2'
loop_
_atom_site_label
_atom_site_type_symbol
_atom_site_fract_x
_atom_site_fract_y
_atom_site_fract_z
_atom_site_occupancy
Co1 Co 0.000 0.000 0.000 1
Re1 Re 0.000 0.000 0.500 1
Si1 Si 0.000 0.500 0.000 1
I1 I 0.500 0.500 0.500 1
```

Computed properties:
ΔE_f (raw): 0.898 eV/atom
Total magnetization: 2.676 μB per cell
Electronic total energy: -27.46 eV/f.u.